The following is a PBE+U calculation of a relaxed Na2CoBiF8 crystal, from Alexandria via LeMat-Bulk.

Geometry as POSCAR:
```
Na2CoBiF8
1.0
0.0380 4.1650 -2.6886
-4.3905 -1.5678 -2.3381
-3.7116 3.1635 4.8479
Na Co Bi F
2 1 1 8
Cartesian
-5.0148 3.7180 1.1944
-3.0492 2.0427 -1.3732
0.0000 0.0000 0.0000
-1.8558 1.5818 2.4240
-4.3914 0.1549 -1.3228
-3.2916 1.8762 -3.7439
-1.5897 3.8305 -1.5764
-3.6726 5.6058 1.1440
-4.7725 3.8845 3.5651
-6.4744 1.9302 1.3976
-4.9158 3.2945 -1.0359
-3.1483 2.4662 0.8571
```

Summary:
* SG: No. 10
* raw total energy: -4.563 eV/atom
* magnetization: 2.02 μB/cell